La6Sn2Te3S after structural relaxation, computed with PBE-GGA.

## Properties
**Space group**: C2/m
**Raw formation energy**: -16.993 eV per formula unit

The structure in CIF format:
```
data_La6Sn2Te3S
_chemical_formula_sum 'La6 Sn2 Te3 S1'
_space_group_name_H-M_alt 'P 1'
_space_group_IT_number 1
_cell_length_a 10.2050
_cell_length_b 10.2050
_cell_length_c 9.1184
_cell_angle_alpha 103.77
_cell_angle_beta 103.77
_cell_angle_gamma 25.77
loop_
_space_group_symop_operation_xyz
'x,y,z'
loop_
_atom_site_label
_atom_site_type_symbol
_atom_site_fract_x
_atom_site_fract_y
_atom_site_fract_z
La1 La 0.0009 0.0009 0.2295
La2 La 0.3317 0.3317 0.4222
La3 La 0.3422 0.3422 0.9172
La4 La 0.6578 0.6578 0.0828
La5 La 0.6683 0.6683 0.5778
La6 La 0.9991 0.9991 0.7705
Sn1 Sn 0.1643 0.1643 0.3286
Sn2 Sn 0.8357 0.8357 0.6714
Te1 Te 0.1688 0.1688 0.8344
Te2 Te 0.5000 0.5000 0.5000
Te3 Te 0.8312 0.8312 0.1656
S1 S 0.5000 0.5000 0.0000
```



LaSnTeS2 after structural relaxation, computed with PBE-GGA.

## Properties
**Space group**: P4/mmm
**Raw formation energy**: 0.216 eV per formula unit

The structure in CIF format:
```
data_LaSnTeS2
_chemical_formula_sum 'La1 Sn1 Te1 S2'
_space_group_name_H-M_alt 'P 1'
_space_group_IT_number 1
_cell_length_a 5.1949
_cell_length_b 5.1949
_cell_length_c 6.1491
_cell_angle_alpha 90.00
_cell_angle_beta 90.00
_cell_angle_gamma 90.00
loop_
_space_group_symop_operation_xyz
'x,y,z'
loop_
_atom_site_label
_atom_site_type_symbol
_atom_site_fract_x
_atom_site_fract_y
_atom_site_fract_z
La1 La 0.0000 0.0000 0.0000
Sn1 Sn 0.5000 0.5000 0.0000
Te1 Te 0.0000 0.0000 0.5000
S1 S 0.0000 0.5000 0.5000
S2 S 0.5000 0.0000 0.5000
```



LaTl2SnS4 after structural relaxation, computed with PBE-GGA.

## Properties
**Space group**: P2/m
**Raw formation energy**: -7.331 eV per formula unit

The structure in CIF format:
```
data_LaTl2SnS4
_chemical_formula_sum 'La1 Tl2 Sn1 S4'
_space_group_name_H-M_alt 'P 1'
_space_group_IT_number 1
_cell_length_a 7.2243
_cell_length_b 4.1421
_cell_length_c 7.8095
_cell_angle_alpha 90.00
_cell_angle_beta 108.06
_cell_angle_gamma 90.00
loop_
_space_group_symop_operation_xyz
'x,y,z'
loop_
_atom_site_label
_atom_site_type_symbol
_atom_site_fract_x
_atom_site_fract_y
_atom_site_fract_z
La1 La 0.0000 0.0000 0.0000
Tl1 Tl 0.0000 0.5000 0.5000
Tl2 Tl 0.5000 0.0000 0.5000
Sn1 Sn 0.5000 0.5000 0.0000
S1 S 0.2473 0.5000 0.2038
S2 S 0.2750 0.0000 0.7964
S3 S 0.7250 0.0000 0.2036
S4 S 0.7527 0.5000 0.7962
```



La3Tl4SnS8 after structural relaxation, computed with PBE-GGA.

## Properties
**Space group**: R-3m
**Raw formation energy**: -19.472 eV per formula unit

The structure in CIF format:
```
data_La3Tl4SnS8
_chemical_formula_sum 'La3 Tl4 Sn1 S8'
_space_group_name_H-M_alt 'P 1'
_space_group_IT_number 1
_cell_length_a 8.8922
_cell_length_b 8.8922
_cell_length_c 8.8922
_cell_angle_alpha 56.72
_cell_angle_beta 56.72
_cell_angle_gamma 56.72
loop_
_space_group_symop_operation_xyz
'x,y,z'
loop_
_atom_site_label
_atom_site_type_symbol
_atom_site_fract_x
_atom_site_fract_y
_atom_site_fract_z
La1 La 0.0000 0.5000 0.5000
La2 La 0.5000 0.0000 0.5000
La3 La 0.5000 0.5000 0.0000
Tl1 Tl 0.0000 0.0000 0.5000
Tl2 Tl 0.0000 0.5000 0.0000
Tl3 Tl 0.5000 0.0000 0.0000
Tl4 Tl 0.5000 0.5000 0.5000
Sn1 Sn 0.0000 0.0000 0.0000
S1 S 0.2283 0.2283 0.7460
S2 S 0.2283 0.7460 0.2283
S3 S 0.2540 0.7717 0.7717
S4 S 0.2648 0.2648 0.2648
S5 S 0.7352 0.7352 0.7352
S6 S 0.7460 0.2283 0.2283
S7 S 0.7717 0.2540 0.7717
S8 S 0.7717 0.7717 0.2540
```



La3YSn2S after structural relaxation, computed with PBE-GGA.

## Properties
**Space group**: Immm
**Raw formation energy**: -6.819 eV per formula unit

The structure in CIF format:
```
data_La3YSn2S
_chemical_formula_sum 'La3 Y1 Sn2 S1'
_space_group_name_H-M_alt 'P 1'
_space_group_IT_number 1
_cell_length_a 9.2077
_cell_length_b 9.2077
_cell_length_c 9.2077
_cell_angle_alpha 147.54
_cell_angle_beta 146.43
_cell_angle_gamma 47.39
loop_
_space_group_symop_operation_xyz
'x,y,z'
loop_
_atom_site_label
_atom_site_type_symbol
_atom_site_fract_x
_atom_site_fract_y
_atom_site_fract_z
La1 La 0.0000 0.0000 0.0000
La2 La 0.3287 0.8287 0.5000
La3 La 0.6713 0.1713 0.5000
Y1 Y 0.5000 0.5000 0.0000
Sn1 Sn 0.1330 0.6330 0.5000
Sn2 Sn 0.8670 0.3670 0.5000
S1 S 0.5000 0.0000 0.5000
```



SrLaS3 after structural relaxation, computed with PBE-GGA.

## Properties
**Space group**: Pm-3m
**Raw formation energy**: -6.822 eV per formula unit
**Relative energy among the computed polymorphs**: 0 meV/atom

The structure in CIF format:
```
data_SrLaS3
_chemical_formula_sum 'Sr1 La1 S3'
_space_group_name_H-M_alt 'P 1'
_space_group_IT_number 1
_cell_length_a 5.4412
_cell_length_b 5.4412
_cell_length_c 5.4412
_cell_angle_alpha 90.00
_cell_angle_beta 90.00
_cell_angle_gamma 90.00
loop_
_space_group_symop_operation_xyz
'x,y,z'
loop_
_atom_site_label
_atom_site_type_symbol
_atom_site_fract_x
_atom_site_fract_y
_atom_site_fract_z
Sr1 Sr 0.0000 0.0000 0.0000
La1 La 0.5000 0.5000 0.5000
S1 S 0.0000 0.5000 0.5000
S2 S 0.5000 0.0000 0.5000
S3 S 0.5000 0.5000 0.0000
```



SrLa2S3 after structural relaxation, computed with PBE-GGA.

## Properties
**Space group**: Immm
**Raw formation energy**: -12.745 eV per formula unit

The structure in CIF format:
```
data_SrLa2S3
_chemical_formula_sum 'Sr1 La2 S3'
_space_group_name_H-M_alt 'P 1'
_space_group_IT_number 1
_cell_length_a 7.2855
_cell_length_b 7.2855
_cell_length_c 7.2855
_cell_angle_alpha 146.78
_cell_angle_beta 132.12
_cell_angle_gamma 59.52
loop_
_space_group_symop_operation_xyz
'x,y,z'
loop_
_atom_site_label
_atom_site_type_symbol
_atom_site_fract_x
_atom_site_fract_y
_atom_site_fract_z
Sr1 Sr 0.0000 0.0000 0.0000
La1 La 0.3344 0.3344 0.0000
La2 La 0.6656 0.6656 0.0000
S1 S 0.1683 0.6683 0.5000
S2 S 0.5000 0.0000 0.5000
S3 S 0.8317 0.3317 0.5000
```



SrLaS2 after structural relaxation, computed with PBE-GGA.

## Properties
**Space group**: I-42d
**Raw formation energy**: -6.900 eV per formula unit
**Relative energy among the computed polymorphs**: 385 meV/atom

The structure in CIF format:
```
data_SrLaS2
_chemical_formula_sum 'Sr2 La2 S4'
_space_group_name_H-M_alt 'P 1'
_space_group_IT_number 1
_cell_length_a 8.0768
_cell_length_b 8.0768
_cell_length_c 8.0768
_cell_angle_alpha 131.63
_cell_angle_beta 131.63
_cell_angle_gamma 70.82
loop_
_space_group_symop_operation_xyz
'x,y,z'
loop_
_atom_site_label
_atom_site_type_symbol
_atom_site_fract_x
_atom_site_fract_y
_atom_site_fract_z
Sr1 Sr 0.0000 0.0000 0.0000
Sr2 Sr 0.7500 0.2500 0.5000
La1 La 0.2500 0.7500 0.5000
La2 La 0.5000 0.5000 0.0000
S1 S 0.1383 0.6250 0.0133
S2 S 0.3750 0.3883 0.5133
S3 S 0.6117 0.1250 0.9867
S4 S 0.8750 0.8617 0.4867
```



SrLaS2 after structural relaxation, computed with PBE-GGA.

## Properties
**Space group**: R-3m
**Raw formation energy**: -5.911 eV per formula unit
**Relative energy among the computed polymorphs**: 632 meV/atom

The structure in CIF format:
```
data_SrLaS2
_chemical_formula_sum 'Sr1 La1 S2'
_space_group_name_H-M_alt 'P 1'
_space_group_IT_number 1
_cell_length_a 8.8073
_cell_length_b 8.8073
_cell_length_c 8.8073
_cell_angle_alpha 29.34
_cell_angle_beta 29.34
_cell_angle_gamma 29.34
loop_
_space_group_symop_operation_xyz
'x,y,z'
loop_
_atom_site_label
_atom_site_type_symbol
_atom_site_fract_x
_atom_site_fract_y
_atom_site_fract_z
Sr1 Sr 0.0000 0.0000 0.0000
La1 La 0.5000 0.5000 0.5000
S1 S 0.3955 0.3955 0.3955
S2 S 0.6045 0.6045 0.6045
```



SrLaS2 after structural relaxation, computed with PBE-GGA.

## Properties
**Space group**: R-3m
**Raw formation energy**: -8.439 eV per formula unit
**Relative energy among the computed polymorphs**: 0 meV/atom

The structure in CIF format:
```
data_SrLaS2
_chemical_formula_sum 'Sr1 La1 S2'
_space_group_name_H-M_alt 'P 1'
_space_group_IT_number 1
_cell_length_a 7.3714
_cell_length_b 7.3714
_cell_length_c 7.3714
_cell_angle_alpha 32.97
_cell_angle_beta 32.97
_cell_angle_gamma 32.97
loop_
_space_group_symop_operation_xyz
'x,y,z'
loop_
_atom_site_label
_atom_site_type_symbol
_atom_site_fract_x
_atom_site_fract_y
_atom_site_fract_z
Sr1 Sr 0.0000 0.0000 0.0000
La1 La 0.5000 0.5000 0.5000
S1 S 0.2483 0.2483 0.2483
S2 S 0.7517 0.7517 0.7517
```



SrLaS3 after structural relaxation, computed with PBE-GGA.

## Properties
**Space group**: Pm-3m
**Raw formation energy**: -4.319 eV per formula unit
**Relative energy among the computed polymorphs**: 501 meV/atom

The structure in CIF format:
```
data_SrLaS3
_chemical_formula_sum 'Sr1 La1 S3'
_space_group_name_H-M_alt 'P 1'
_space_group_IT_number 1
_cell_length_a 5.2800
_cell_length_b 5.2800
_cell_length_c 5.2800
_cell_angle_alpha 90.00
_cell_angle_beta 90.00
_cell_angle_gamma 90.00
loop_
_space_group_symop_operation_xyz
'x,y,z'
loop_
_atom_site_label
_atom_site_type_symbol
_atom_site_fract_x
_atom_site_fract_y
_atom_site_fract_z
Sr1 Sr 0.0000 0.0000 0.0000
La1 La 0.5000 0.5000 0.5000
S1 S 0.0000 0.0000 0.5000
S2 S 0.0000 0.5000 0.0000
S3 S 0.5000 0.0000 0.0000
```



SrLaS2 after structural relaxation, computed with PBE-GGA.

## Properties
**Space group**: Fm-3m
**Raw formation energy**: -7.024 eV per formula unit
**Relative energy among the computed polymorphs**: 354 meV/atom

The structure in CIF format:
```
data_SrLaS2
_chemical_formula_sum 'Sr1 La1 S2'
_space_group_name_H-M_alt 'P 1'
_space_group_IT_number 1
_cell_length_a 5.0970
_cell_length_b 5.0970
_cell_length_c 5.0970
_cell_angle_alpha 60.00
_cell_angle_beta 60.00
_cell_angle_gamma 60.00
loop_
_space_group_symop_operation_xyz
'x,y,z'
loop_
_atom_site_label
_atom_site_type_symbol
_atom_site_fract_x
_atom_site_fract_y
_atom_site_fract_z
Sr1 Sr 0.0000 0.0000 0.0000
La1 La 0.5000 0.5000 0.5000
S1 S 0.2500 0.2500 0.2500
S2 S 0.7500 0.7500 0.7500
```